Ce4TlPb (PBE, optimized geometry); excess energy over the best structure of this formula in the dataset = 91 meV/atom; E = -5.101 eV per atom
1.0
4.961 0.003 1.826
2.617 5.614 0.536
0.604 -1.434 6.019
Ce Tl Pb
4 1 1
Direct
0.751 0.582 0.915 Ce
0.751 0.915 0.582 Ce
0.248 0.418 0.085 Ce
0.248 0.085 0.418 Ce
0.500 0.500 0.500 Tl
0.000 0.000 0.000 Pb



Sm6Ni2SCl3 (PBE, optimized geometry); formation energy without anion corrections = -14.2 eV/f.u.; E = -5.309 eV per atom
1.0
7.023 0.010 0.004
-3.501 6.089 0.004
-1.171 -2.027 6.981
Sm Ni S Cl
6 2 1 3
Direct
0.929 0.579 0.790 Sm
0.719 0.719 0.207 Sm
0.071 0.421 0.210 Sm
0.579 0.929 0.790 Sm
0.281 0.281 0.793 Sm
0.421 0.071 0.210 Sm
0.332 0.668 0.000 Ni
0.668 0.332 0.000 Ni
0.000 0.000 0.000 S
0.156 0.844 0.500 Cl
0.844 0.156 0.500 Cl
0.500 0.500 0.500 Cl



Tb2DyTc (PBE, optimized geometry); excess energy over the best structure of this formula in the dataset = 0 meV/atom; E = -6.148 eV per atom
1.0
-0.921 2.472 -5.698
3.946 -5.505 -3.027
-7.700 -5.008 -0.928
Tb Dy Tc
8 4 4
Direct
0.161 0.677 0.064 Tb
0.339 0.177 0.436 Tb
0.839 0.323 0.564 Tb
0.661 0.823 0.936 Tb
0.839 0.323 0.936 Tb
0.661 0.823 0.564 Tb
0.161 0.677 0.436 Tb
0.339 0.177 0.064 Tb
0.630 0.543 0.250 Dy
0.870 0.043 0.250 Dy
0.370 0.457 0.750 Dy
0.130 0.957 0.750 Dy
0.040 0.387 0.250 Tc
0.460 0.887 0.250 Tc
0.960 0.613 0.750 Tc
0.540 0.113 0.750 Tc



CsSiSe3 (PBE, optimized geometry); formation energy without anion corrections = -3.4 eV/f.u.; E = -4.018 eV per atom
1.0
-0.985 -3.552 -5.697
3.225 -5.182 4.874
-12.277 -3.559 4.341
Cs Si Se
4 4 12
Direct
0.784 0.755 0.568 Cs
0.216 0.245 0.432 Cs
0.716 0.245 0.068 Cs
0.284 0.755 0.932 Cs
0.827 0.278 0.720 Si
0.327 0.278 0.780 Si
0.673 0.722 0.220 Si
0.173 0.722 0.280 Si
0.332 0.039 0.686 Se
0.151 0.464 0.701 Se
0.295 0.783 0.435 Se
0.795 0.783 0.065 Se
0.651 0.464 0.799 Se
0.832 0.039 0.814 Se
0.849 0.536 0.299 Se
0.205 0.217 0.935 Se
0.349 0.536 0.201 Se
0.668 0.961 0.314 Se
0.168 0.961 0.186 Se
0.705 0.217 0.565 Se



Ce2ScTl6 (PBE, optimized geometry); E = -3.540 eV per atom
1.0
4.880 0.000 -0.186
0.000 7.879 0.000
-2.162 -3.940 7.608
Ce Sc Tl
2 1 6
Direct
0.645 0.647 0.295 Ce
0.355 0.353 0.705 Ce
0.000 0.000 0.000 Sc
0.166 0.385 0.336 Tl
0.834 0.048 0.664 Tl
0.834 0.615 0.664 Tl
0.500 0.205 0.000 Tl
0.166 0.952 0.336 Tl
0.500 0.795 0.000 Tl



RbGaCl2 (PBE, optimized geometry); excess energy over the best structure of this formula in the dataset = 61 meV/atom; formation energy without anion corrections = -4.9 eV/f.u.; E = -3.158 eV per atom
1.0
-0.389 0.228 6.952
-3.041 -6.268 0.036
4.783 -6.170 3.961
Ga Rb Cl
2 2 4
Direct
0.500 0.500 0.000 Ga
0.250 0.750 0.500 Ga
0.000 0.000 0.000 Rb
0.750 0.250 0.500 Rb
0.586 0.125 0.250 Cl
0.164 0.625 0.250 Cl
0.375 0.414 0.750 Cl
0.875 0.836 0.750 Cl